# 1
Material: FeSiSI2
Method: DFT, GGA-PBE
State: optimized geometry

Values from the calculation:
Total energy (eV per atom): -3.3588
Polymorph energy (0 for the lowest one) (meV/atom): 189.7

CIF file:
```
data_FeSiSI2
_chemical_formula_sum 'Fe1 Si1 S1 I2'
_symmetry_space_group_name_H-M 'P 4/m m m'
_symmetry_Int_Tables_number 123
_symmetry_space_group_name_Hall '-P 4 2'
_cell_length_a 5.932
_cell_length_b 5.932
_cell_length_c 4.174
_cell_angle_alpha 90.00
_cell_angle_beta 90.00
_cell_angle_gamma 90.00
loop_
_atom_site_label
_atom_site_type_symbol
_atom_site_fract_x
_atom_site_fract_y
_atom_site_fract_z
_atom_site_occupancy
Fe1 Fe 0.000 0.000 0.000 1
Si1 Si 0.500 0.500 0.000 1
S1 S 0.000 0.000 0.500 1
I1 I 0.000 0.500 0.500 1
```

***

# 2
Material: FeSiSI2
Method: DFT, GGA-PBE
State: optimized geometry

Values from the calculation:
Total energy (eV per atom): -3.5485
Polymorph energy (0 for the lowest one) (meV/atom): 0.0

CIF file:
```
data_FeSiSI2
_chemical_formula_sum 'Fe1 Si1 S1 I2'
_symmetry_space_group_name_H-M 'P 4/m m m'
_symmetry_Int_Tables_number 123
_symmetry_space_group_name_Hall '-P 4 2'
_cell_length_a 5.667
_cell_length_b 5.667
_cell_length_c 4.386
_cell_angle_alpha 90.00
_cell_angle_beta 90.00
_cell_angle_gamma 90.00
loop_
_atom_site_label
_atom_site_type_symbol
_atom_site_fract_x
_atom_site_fract_y
_atom_site_fract_z
_atom_site_occupancy
Fe1 Fe 0.000 0.000 0.000 1
Si1 Si 0.500 0.500 0.500 1
S1 S 0.500 0.500 0.000 1
I1 I 0.000 0.500 0.500 1
```

***

# 3
Material: Sr2FeSI
Method: DFT, GGA-PBE
State: optimized geometry

Values from the calculation:
Total energy (eV per atom): -4.2470

CIF file:
```
data_Sr2FeSI
_chemical_formula_sum 'Sr2 Fe1 S1 I1'
_symmetry_space_group_name_H-M 'P 4/m m m'
_symmetry_Int_Tables_number 123
_symmetry_space_group_name_Hall '-P 4 2'
_cell_length_a 5.823
_cell_length_b 5.823
_cell_length_c 4.165
_cell_angle_alpha 90.00
_cell_angle_beta 90.00
_cell_angle_gamma 90.00
loop_
_atom_site_label
_atom_site_type_symbol
_atom_site_fract_x
_atom_site_fract_y
_atom_site_fract_z
_atom_site_occupancy
Sr1 Sr 0.000 0.500 0.000 1
Fe1 Fe 0.000 0.000 0.000 1
S1 S 0.000 0.000 0.500 1
I1 I 0.500 0.500 0.500 1
```

***

# 4
Material: FeTeSI2
Method: DFT, GGA-PBE
State: optimized geometry

Values from the calculation:
Total energy (eV per atom): -3.0497
Polymorph energy (0 for the lowest one) (meV/atom): 0.0

CIF file:
```
data_FeTeSI2
_chemical_formula_sum 'Fe1 Te1 S1 I2'
_symmetry_space_group_name_H-M 'P 4/m m m'
_symmetry_Int_Tables_number 123
_symmetry_space_group_name_Hall '-P 4 2'
_cell_length_a 5.212
_cell_length_b 5.212
_cell_length_c 4.890
_cell_angle_alpha 90.00
_cell_angle_beta 90.00
_cell_angle_gamma 90.00
loop_
_atom_site_label
_atom_site_type_symbol
_atom_site_fract_x
_atom_site_fract_y
_atom_site_fract_z
_atom_site_occupancy
Fe1 Fe 0.000 0.000 0.000 1
Te1 Te 0.000 0.000 0.500 1
S1 S 0.500 0.500 0.500 1
I1 I 0.000 0.500 0.000 1
```

***

# 5
Material: FeTeSI2
Method: DFT, GGA-PBE
State: optimized geometry

Values from the calculation:
Total energy (eV per atom): -2.8067
Polymorph energy (0 for the lowest one) (meV/atom): 243.1

CIF file:
```
data_FeTeSI2
_chemical_formula_sum 'Fe1 Te1 S1 I2'
_symmetry_space_group_name_H-M 'P 4/m m m'
_symmetry_Int_Tables_number 123
_symmetry_space_group_name_Hall '-P 4 2'
_cell_length_a 5.462
_cell_length_b 5.462
_cell_length_c 5.384
_cell_angle_alpha 90.00
_cell_angle_beta 90.00
_cell_angle_gamma 90.00
loop_
_atom_site_label
_atom_site_type_symbol
_atom_site_fract_x
_atom_site_fract_y
_atom_site_fract_z
_atom_site_occupancy
Fe1 Fe 0.000 0.000 0.000 1
Te1 Te 0.500 0.500 0.000 1
S1 S 0.500 0.500 0.500 1
I1 I 0.000 0.500 0.500 1
```

***

# 6
Material: FeSb2I2
Method: DFT, GGA-PBE
State: optimized geometry

Values from the calculation:
Total energy (eV per atom): -3.6712
Polymorph energy (0 for the lowest one) (meV/atom): 0.0

CIF file:
```
data_FeSb2I2
_chemical_formula_sum 'Fe2 Sb4 I4'
_symmetry_space_group_name_H-M 'P 4/m b m'
_symmetry_Int_Tables_number 127
_symmetry_space_group_name_Hall '-P 4 2ab'
_cell_length_a 7.170
_cell_length_b 7.170
_cell_length_c 6.006
_cell_angle_alpha 90.00
_cell_angle_beta 90.00
_cell_angle_gamma 90.00
loop_
_atom_site_label
_atom_site_type_symbol
_atom_site_fract_x
_atom_site_fract_y
_atom_site_fract_z
_atom_site_occupancy
Fe1 Fe 0.000 0.000 0.000 1
Sb1 Sb 0.153 0.347 0.000 1
I1 I 0.190 0.310 0.500 1
```

***

# 7
Material: FeSbI2
Method: DFT, GGA-PBE
State: optimized geometry

Values from the calculation:
Total energy (eV per atom): -3.3656
Polymorph energy (0 for the lowest one) (meV/atom): 0.0

CIF file:
```
data_FeSbI2
_chemical_formula_sum 'Fe4 Sb4 I8'
_symmetry_space_group_name_H-M 'I -4 2 d'
_symmetry_Int_Tables_number 122
_symmetry_space_group_name_Hall 'I -4 2bw'
_cell_length_a 7.565
_cell_length_b 7.565
_cell_length_c 10.721
_cell_angle_alpha 90.00
_cell_angle_beta 90.00
_cell_angle_gamma 90.00
loop_
_atom_site_label
_atom_site_type_symbol
_atom_site_fract_x
_atom_site_fract_y
_atom_site_fract_z
_atom_site_occupancy
Fe1 Fe 0.000 0.000 0.000 1
Sb1 Sb 0.000 0.000 0.500 1
I1 I 0.158 0.250 0.125 1
```

***

# 8
Material: Fe2SbI8
Method: DFT, GGA-PBE
State: optimized geometry

Values from the calculation:
Total energy (eV per atom): -3.2415

CIF file:
```
data_Fe2SbI8
_chemical_formula_sum 'Fe4 Sb2 I16'
_symmetry_space_group_name_H-M 'C 1 2/m 1'
_symmetry_Int_Tables_number 12
_cell_length_a 13.853
_cell_length_b 10.868
_cell_length_c 7.160
_cell_angle_alpha 90.00
_cell_angle_beta 96.51
_cell_angle_gamma 90.00
loop_
_symmetry_equiv_pos_as_xyz
'x,y,z'
'-x,-y,-z'
'-x,y,-z'
'x,-y,z'
'x+1/2,y+1/2,z'
'-x+1/2,-y+1/2,-z'
'-x+1/2,y+1/2,-z'
'x+1/2,-y+1/2,z'
loop_
_atom_site_label
_atom_site_type_symbol
_atom_site_fract_x
_atom_site_fract_y
_atom_site_fract_z
_atom_site_occupancy
Fe1 Fe 0.194 0.000 0.139 1
Sb1 Sb 0.000 0.000 0.500 1
I1 I 0.099 0.186 0.267 1
I2 I 0.130 0.500 0.731 1
I3 I 0.189 0.000 0.776 1
```

***

Question: The lowest total energy belongs to which entry?
Answer: Sr2FeSI

***

Copy entry 7 word for word.
Material: FeSbI2
Method: DFT, GGA-PBE
State: optimized geometry

Values from the calculation:
Total energy (eV per atom): -3.3656
Polymorph energy (0 for the lowest one) (meV/atom): 0.0

CIF file:
```
data_FeSbI2
_chemical_formula_sum 'Fe4 Sb4 I8'
_symmetry_space_group_name_H-M 'I -4 2 d'
_symmetry_Int_Tables_number 122
_symmetry_space_group_name_Hall 'I -4 2bw'
_cell_length_a 7.565
_cell_length_b 7.565
_cell_length_c 10.721
_cell_angle_alpha 90.00
_cell_angle_beta 90.00
_cell_angle_gamma 90.00
loop_
_atom_site_label
_atom_site_type_symbol
_atom_site_fract_x
_atom_site_fract_y
_atom_site_fract_z
_atom_site_occupancy
Fe1 Fe 0.000 0.000 0.000 1
Sb1 Sb 0.000 0.000 0.500 1
I1 I 0.158 0.250 0.125 1
```

***

Question: What is the total energy in the seventh record?
Answer: -3.3656 eV per atom

***

Please write out number 8 again, unchanged.
Material: Fe2SbI8
Method: DFT, GGA-PBE
State: optimized geometry

Values from the calculation:
Total energy (eV per atom): -3.2415

CIF file:
```
data_Fe2SbI8
_chemical_formula_sum 'Fe4 Sb2 I16'
_symmetry_space_group_name_H-M 'C 1 2/m 1'
_symmetry_Int_Tables_number 12
_cell_length_a 13.853
_cell_length_b 10.868
_cell_length_c 7.160
_cell_angle_alpha 90.00
_cell_angle_beta 96.51
_cell_angle_gamma 90.00
loop_
_symmetry_equiv_pos_as_xyz
'x,y,z'
'-x,-y,-z'
'-x,y,-z'
'x,-y,z'
'x+1/2,y+1/2,z'
'-x+1/2,-y+1/2,-z'
'-x+1/2,y+1/2,-z'
'x+1/2,-y+1/2,z'
loop_
_atom_site_label
_atom_site_type_symbol
_atom_site_fract_x
_atom_site_fract_y
_atom_site_fract_z
_atom_site_occupancy
Fe1 Fe 0.194 0.000 0.139 1
Sb1 Sb 0.000 0.000 0.500 1
I1 I 0.099 0.186 0.267 1
I2 I 0.130 0.500 0.731 1
I3 I 0.189 0.000 0.776 1
```